{"formula": "Ac2CrBrO6", "functional": "PBE with a Hubbard U", "state": "optimized geometry", "dft_energy_ry_per_atom": -0.4983, "space_group": "P4mm (99)", "lattice_angstrom": [[5.8704, 0.0000, 0.0000], [0.0000, 5.8704, 0.0000], [0.0000, 0.0000, 5.4384]], "species": ["Ac", "Ac", "Cr", "Br", "O", "O", "O", "O", "O", "O"], "frac_coords": [[0.0000, 0.5000, 0.0000], [0.5000, 0.0000, 0.0000], [0.0000, 0.0000, 0.6614], [0.5000, 0.5000, 0.4119], [0.0000, 0.0000, 0.3528], [0.2107, 0.2107, 0.7823], [0.2107, 0.7893, 0.7823], [0.5000, 0.5000, 0.0701], [0.7893, 0.2107, 0.7823], [0.7893, 0.7893, 0.7823]]}